The following is a GGA+U calculation of an optimized crystal structure of Tb6VO12, from the Alexandria database.

abc: 9.7874 9.7874 9.3771
angles: 90.00 90.00 120.00
Space group R-3 (No. 148, hexagonal axes)
Asymmetric unit:
Tb1 0.0522 0.7894 0.1503 [18 per cell]
V1 0.0000 0.0000 0.5000 [3 per cell]
O1 0.0385 0.8135 0.9025 [18 per cell]
O2 0.0418 0.8561 0.3911 [18 per cell]

Calculated values
VASP energy   -8.126 eV per atom
M_tot   1.2 μB per formula unit
DOS(E_F)   23.09 states/eV/cell